Entry 1:
Pr2ScHPd6: relaxed, GGA-PBE.

Its uncorrected energy is -170.49 eV for the cell shown. As for the total magnetization: 0.0 μB/f.u. The volume comes out at 557.69 Å³/cell.

The structure belongs to space group R-3m (No. 166, hexagonal axes); the cell edges are 5.8415, 5.8415 and 18.8720 Å and the angles 90.00°, 90.00° and 120.00°. The asymmetric unit holds Pr at (0.0000, 0.0000, 0.2322), Sc at (0.0000, 0.0000, 0.5000), H at (0.0000, 0.0000, 0.0000) and Pd at (0.0005, 0.5003, 0.7268).

Entry 2:
Pr2TlHPd6: relaxed, GGA-PBE.

Its uncorrected energy is -51.75 eV for the cell shown. As for the total magnetization: 0.0 μB/f.u. The volume comes out at 190.83 Å³/cell.

The structure belongs to space group P-1 (No. 2); the cell edges are 5.812, 5.815 and 7.322 Å and the angles 66.78°, 66.72° and 60.06°. The asymmetric unit holds Pr at (0.238, 0.239, 0.288), Tl at (0.500, 0.500, 0.500), H at (0.000, 0.000, 0.000), Pd at (0.222, 0.724, 0.829), Pd at (0.223, 0.221, 0.824) and Pd at (0.273, 0.780, 0.173).

Entry 3:
PrZnHPd2: relaxed, GGA-PBE.

Its uncorrected energy is -91.68 eV for the cell shown. As for the total magnetization: 0.0 μB/f.u. The volume comes out at 327.49 Å³/cell.

The structure belongs to space group Cmcm (No. 63); the cell edges are 3.968, 10.962 and 7.529 Å and the angles 90.00°, 90.00° and 90.00°. The asymmetric unit holds Pr at (0.000, 0.054, 0.250), Zn at (0.000, 0.227, 0.750), H at (0.000, 0.500, 0.000) and Pd at (0.000, 0.344, 0.054).

Entry 4:
H2PdPt2: relaxed, GGA-PBE.

Its uncorrected energy is -47.84 eV for the cell shown. The offset from the most stable computed form comes out at 0.000 eV/f.u. As for the total magnetization: 0.0 μB/f.u. The volume comes out at 111.67 Å³/cell.

The structure belongs to space group P4/mbm (No. 127); the cell edges are 5.347, 5.347 and 3.906 Å and the angles 90.00°, 90.00° and 90.00°. The asymmetric unit holds H at (0.181, 0.319, 0.000), Pd at (0.000, 0.000, 0.000) and Pt at (0.181, 0.319, 0.500).

Entry 5:
HPd6Pt3: relaxed, GGA-PBE.

Its uncorrected energy is -104.28 eV for the cell shown. As for the total magnetization: 0.0 μB/f.u. The volume comes out at 290.34 Å³/cell.

The structure belongs to space group P2_1/m (No. 11); the cell edges are 9.076, 2.722 and 12.010 Å and the angles 90.00°, 101.85° and 90.00°. The asymmetric unit holds H at (0.020, 0.250, 0.226), Pd at (0.011, 0.750, 0.105), Pd at (0.094, 0.750, 0.341), Pd at (0.189, 0.750, 0.763), Pd at (0.309, 0.750, 0.220), Pd at (0.411, 0.250, 0.671), Pd at (0.488, 0.750, 0.890), Pt at (0.136, 0.250, 0.547), Pt at (0.253, 0.750, 0.994) and Pt at (0.374, 0.250, 0.435).

Entry 6:
HPdPt3: relaxed, GGA-PBE.

Its uncorrected energy is -105.65 eV for the cell shown. The offset from the most stable computed form comes out at 0.186 eV/f.u. As for the total magnetization: 0.0 μB/f.u. The volume comes out at 260.75 Å³/cell.

The structure belongs to space group Cmcm (No. 63); the cell edges are 5.698, 7.977 and 5.737 Å and the angles 90.00°, 90.00° and 90.00°. The asymmetric unit holds H at (0.000, 0.025, 0.250), Pd at (0.000, 0.252, 0.750), Pt at (0.000, 0.255, 0.250) and Pt at (0.245, 0.500, 0.000).

Entry 7:
H2PdPt4: relaxed, GGA-PBE.

Its uncorrected energy is -107.04 eV for the cell shown. As for the total magnetization: 0.0 μB/f.u. The volume comes out at 257.28 Å³/cell.

The structure belongs to space group R-3m (No. 166, hexagonal axes); the cell edges are 2.7996, 2.7996 and 37.9033 Å and the angles 90.00°, 90.00° and 120.00°. The asymmetric unit holds H at (0.0000, 0.0000, 0.1204), Pd at (0.0000, 0.0000, 0.5000), Pt at (0.0000, 0.0000, 0.3019) and Pt at (0.0000, 0.0000, 0.4278).

Entry 8:
H3PdPt: relaxed, GGA-PBE.

Its uncorrected energy is -84.19 eV for the cell shown. The offset from the most stable computed form comes out at 0.121 eV/f.u. As for the total magnetization: 0.0 μB/f.u. The volume comes out at 167.88 Å³/cell.

The structure belongs to space group P2_1/c (No. 14); the cell edges are 6.217, 5.012 and 6.024 Å and the angles 90.00°, 116.55° and 90.00°. The asymmetric unit holds H at (0.080, 0.124, 0.204), H at (0.314, 0.601, 0.461), H at (0.346, 0.069, 0.623), Pd at (0.123, 0.745, 0.640) and Pt at (0.373, 0.246, 0.890).

Entry 9:
HPdPt3: relaxed, GGA-PBE.

Its uncorrected energy is -17.06 eV for the cell shown. The offset from the most stable computed form comes out at 9.539 eV/f.u. As for the total magnetization: 1.4 μB/f.u. The volume comes out at 116.02 Å³/cell.

The structure belongs to space group Pm-3m (No. 221); the cell edges are 4.877, 4.877 and 4.877 Å and the angles 90.00°, 90.00° and 90.00°. The asymmetric unit holds H at (0.000, 0.000, 0.000), Pd at (0.500, 0.500, 0.500) and Pt at (0.000, 0.500, 0.500).

Entry 10:
H2Pd6Pt: relaxed, GGA-PBE.

Its uncorrected energy is -87.75 eV for the cell shown. As for the total magnetization: 0.0 μB/f.u. The volume comes out at 234.38 Å³/cell.

The structure belongs to space group C2/m (No. 12); the cell edges are 9.353, 2.765 and 9.713 Å and the angles 90.00°, 111.06° and 90.00°. The asymmetric unit holds H at (0.127, 0.000, 0.239), Pd at (0.067, 0.000, 0.771), Pd at (0.159, 0.000, 0.069), Pd at (0.222, 0.500, 0.366) and Pt at (0.000, 0.500, 0.500).

Entry 11:
H3Pd2Pt2: relaxed, GGA-PBE.

Its uncorrected energy is -65.06 eV for the cell shown. The offset from the most stable computed form comes out at 0.000 eV/f.u. As for the total magnetization: 0.0 μB/f.u. The volume comes out at 142.59 Å³/cell.

The structure belongs to space group P2_1/c (No. 14); the cell edges are 5.574, 5.084 and 5.675 Å and the angles 90.00°, 117.55° and 90.00°. The asymmetric unit holds H at (0.000, 0.000, 0.000), H at (0.316, 0.008, 0.686), Pd at (0.130, 0.184, 0.367) and Pt at (0.362, 0.675, 0.624).

Entry 12:
H3PdPt2: relaxed, GGA-PBE.

Its uncorrected energy is -54.19 eV for the cell shown. As for the total magnetization: 0.0 μB/f.u. The volume comes out at 114.47 Å³/cell.

The structure belongs to space group Pmmn (No. 59, origin choice 2); the cell edges are 2.975, 3.353 and 11.478 Å and the angles 90.00°, 90.00° and 90.00°. The asymmetric unit holds H at (0.250, 0.250, 0.014), H at (0.250, 0.250, 0.352), H at (0.250, 0.250, 0.674), Pd at (0.250, 0.750, 0.756), Pt at (0.250, 0.750, 0.089) and Pt at (0.250, 0.750, 0.421).